# Pr2Er3Cd2

Crystalline Pr2Er3Cd2 at its relaxed geometry (GGA-PBE, Alexandria via LeMat-Bulk).

a b c (Å): 5.460 5.460 8.638
angles (deg): 108.42 90.00 120.00
Fractional coordinates of all 7 atoms:
Er: 0.345 0.690 0.535
Er: 0.500 0.000 0.000
Pr: 0.076 0.151 0.727
Cd: 0.787 0.573 0.859
Pr: 0.924 0.849 0.273
Er: 0.655 0.310 0.465
Cd: 0.213 0.427 0.141

Its crystal system is trigonal. The calculation puts the energy above the most stable polymorph in this dataset at 0.000 eV/atom. Its space-group type is R-3m. The calculation puts the formation energy from the elements at -0.134 eV per atom. The total DFT energy (no corrections) comes out at -26.016 eV for the cell shown. For the theoretical density, the calculation gives 8.06 g/cm3.

# CsRh3O

Crystalline CsRh3O at its relaxed geometry (GGA-PBE, Alexandria via LeMat-Bulk).

a b c (Å): 5.032 5.032 5.032
angles (deg): 90.00 90.00 90.00
Fractional coordinates of all 5 atoms:
Rh: 0.500 0.000 0.000
Rh: 0.000 0.000 0.500
Cs: 0.000 0.000 0.000
O: 0.500 0.500 0.500
Rh: 0.000 0.500 0.000

Its crystal system is cubic. The calculation puts the energy above the most stable polymorph in this dataset at 1.792 eV/atom. Its space-group type is Pm-3m. The total DFT energy (no corrections) comes out at -15.148 eV for the cell shown. For the theoretical density, the calculation gives 5.96 g/cm3.

# Cd2FeOs

Crystalline Cd2FeOs at its relaxed geometry (GGA-PBE, Alexandria via LeMat-Bulk).

a b c (Å): 2.781 2.781 9.568
angles (deg): 90.00 90.00 116.19
Fractional coordinates of all 4 atoms:
Os: 0.500 0.500 0.750
Cd: 0.000 0.000 0.007
Fe: 0.500 0.500 0.250
Cd: 0.000 0.000 0.493

Its crystal system is orthorhombic. The calculation puts the energy above the most stable polymorph in this dataset at 0.316 eV/atom. Its space-group type is Cmmm. The calculation puts the formation energy from the elements at 0.575 eV per atom. The total DFT energy (no corrections) comes out at -19.222 eV for the cell shown. For the theoretical density, the calculation gives 11.78 g/cm3.

# KTl2In

Crystalline KTl2In at its relaxed geometry (GGA-PBE, Alexandria via LeMat-Bulk).

a b c (Å): 4.667 5.225 5.225
angles (deg): 90.00 90.00 90.00
Fractional coordinates of all 4 atoms:
Tl: 0.000 0.500 0.500
In: 0.500 0.500 0.000
Tl: 0.000 0.000 0.000
K: 0.500 0.000 0.500

Its crystal system is tetragonal. Its space-group type is P4/mmm. The calculation puts the formation energy from the elements at -0.006 eV per atom. The total DFT energy (no corrections) comes out at -8.593 eV for the cell shown. For the theoretical density, the calculation gives 7.33 g/cm3.

# Cs6K8Pd

Crystalline Cs6K8Pd at its relaxed geometry (GGA-PBE, Alexandria via LeMat-Bulk).

a b c (Å): 11.114 11.114 11.114
angles (deg): 73.03 73.03 73.03
Fractional coordinates of all 15 atoms:
K: 0.913 0.298 0.029
Cs: 0.832 0.552 0.377
K: 0.971 0.087 0.702
Cs: 0.552 0.377 0.832
Cs: 0.377 0.832 0.552
K: 0.760 0.760 0.760
K: 0.240 0.240 0.240
K: 0.298 0.029 0.913
Cs: 0.168 0.448 0.623
K: 0.702 0.971 0.087
Pd: 0.000 0.000 0.000
K: 0.029 0.913 0.298
Cs: 0.448 0.623 0.168
K: 0.087 0.702 0.971
Cs: 0.623 0.168 0.448

Its crystal system is trigonal. Its space-group type is R-3. The calculation puts the formation energy from the elements at 0.029 eV per atom. The total DFT energy (no corrections) comes out at -18.664 eV for the cell shown. For the theoretical density, the calculation gives 1.65 g/cm3.

# Be2GaCo2

Crystalline Be2GaCo2 at its relaxed geometry (GGA-PBE, Alexandria via LeMat-Bulk).

a b c (Å): 6.157 6.157 2.740
angles (deg): 90.00 90.00 90.00
Fractional coordinates of all 10 atoms:
Be: 0.362 0.138 0.500
Be: 0.638 0.862 0.500
Co: 0.151 0.349 0.000
Co: 0.349 0.849 0.000
Co: 0.651 0.151 0.000
Co: 0.849 0.651 0.000
Be: 0.138 0.638 0.500
Be: 0.862 0.362 0.500
Ga: 0.000 0.000 0.000
Ga: 0.500 0.500 0.000

Its crystal system is tetragonal. The calculation puts the energy above the most stable polymorph in this dataset at 0.137 eV/atom. Its space-group type is P4/mbm. The calculation puts the formation energy from the elements at -0.139 eV per atom. The total DFT energy (no corrections) comes out at -50.774 eV for the cell shown. For the theoretical density, the calculation gives 6.58 g/cm3.

# Al3CoTc

Crystalline Al3CoTc at its relaxed geometry (GGA-PBE, Alexandria via LeMat-Bulk).

a b c (Å): 4.321 4.321 4.321
angles (deg): 90.00 90.00 90.00
Fractional coordinates of all 5 atoms:
Tc: 0.500 0.500 0.500
Al: 0.000 0.000 0.500
Al: 0.500 0.000 0.000
Co: 0.000 0.000 0.000
Al: 0.000 0.500 0.000

Its crystal system is cubic. The calculation puts the energy above the most stable polymorph in this dataset at 0.000 eV/atom. Its space-group type is Pm-3m. The calculation puts the formation energy from the elements at 0.381 eV per atom. The total DFT energy (no corrections) comes out at -26.793 eV for the cell shown. For the theoretical density, the calculation gives 4.90 g/cm3.

# Nd3DyGa3

Crystalline Nd3DyGa3 at its relaxed geometry (GGA-PBE, Alexandria via LeMat-Bulk).

a b c (Å): 4.848 9.417 9.417
angles (deg): 120.00 90.00 90.00
Fractional coordinates of all 14 atoms:
Nd: 0.750 0.758 0.739
Ga: 0.250 0.060 0.455
Nd: 0.750 0.981 0.242
Ga: 0.750 0.940 0.545
Nd: 0.250 0.242 0.261
Ga: 0.750 0.455 0.395
Ga: 0.750 0.605 0.060
Ga: 0.250 0.395 0.940
Nd: 0.750 0.261 0.019
Dy: 0.750 0.333 0.667
Nd: 0.250 0.739 0.981
Ga: 0.250 0.545 0.605
Dy: 0.250 0.667 0.333
Nd: 0.250 0.019 0.758

Its crystal system is hexagonal. Its space-group type is P6_3/m. The calculation puts the formation energy from the elements at -0.373 eV per atom. The total DFT energy (no corrections) comes out at -61.193 eV for the cell shown. For the theoretical density, the calculation gives 7.18 g/cm3.

# Ho5ThSc4

Crystalline Ho5ThSc4 at its relaxed geometry (GGA-PBE, Alexandria via LeMat-Bulk).

a b c (Å): 6.200 7.570 7.570
angles (deg): 80.35 65.83 65.83
Fractional coordinates of all 10 atoms:
Ho: 0.702 0.100 0.392
Th: 0.227 0.000 0.000
Ho: 0.694 0.000 0.000
Ho: 0.195 0.900 0.608
Sc: 0.507 0.585 0.299
Ho: 0.803 0.392 0.900
Sc: 0.391 0.415 0.701
Ho: 0.094 0.608 0.100
Sc: 0.806 0.701 0.585
Sc: 0.092 0.299 0.415

Its crystal system is tetragonal. The calculation puts the energy above the most stable polymorph in this dataset at 0.323 eV/atom. Its space-group type is I4. The calculation puts the formation energy from the elements at 0.364 eV per atom. The total DFT energy (no corrections) comes out at -51.990 eV for the cell shown. For the theoretical density, the calculation gives 6.94 g/cm3.

# La3Sm8Dy4

Crystalline La3Sm8Dy4 at its relaxed geometry (GGA-PBE, Alexandria via LeMat-Bulk).

a b c (Å): 6.927 9.305 9.305
angles (deg): 82.24 111.53 111.53
Fractional coordinates of all 15 atoms:
Sm: 0.500 0.248 0.752
Sm: 0.000 0.296 0.704
Sm: 0.500 0.752 0.248
Dy: 0.000 0.000 0.500
Dy: 0.500 0.000 0.000
Sm: 0.764 0.752 0.752
Sm: 0.791 0.294 0.294
La: 0.500 0.000 0.500
Dy: 0.000 0.500 0.000
Sm: 0.209 0.706 0.706
Sm: 0.236 0.248 0.248
La: 0.500 0.500 0.500
Sm: 0.000 0.704 0.296
Dy: 0.000 0.000 0.000
La: 0.500 0.500 0.000

Its crystal system is monoclinic. Its space-group type is C2/m. The calculation puts the formation energy from the elements at 0.336 eV per atom. The total DFT energy (no corrections) comes out at -65.902 eV for the cell shown. For the theoretical density, the calculation gives 7.26 g/cm3.

# AlIrAu

Crystalline AlIrAu at its relaxed geometry (GGA-PBE, Alexandria via LeMat-Bulk).

a b c (Å): 2.921 2.921 6.384
angles (deg): 90.00 90.00 120.00
Fractional coordinates of all 3 atoms:
Au: 0.333 0.667 0.317
Ir: 0.667 0.333 0.697
Al: 0.000 0.000 0.986

Its crystal system is trigonal. The calculation puts the energy above the most stable polymorph in this dataset at 0.108 eV/atom. Its space-group type is P3m1. The calculation puts the formation energy from the elements at -0.270 eV per atom. The total DFT energy (no corrections) comes out at -16.690 eV for the cell shown. For the theoretical density, the calculation gives 14.65 g/cm3.

# NaSc3Ir

Crystalline NaSc3Ir at its relaxed geometry (GGA-PBE, Alexandria via LeMat-Bulk).

a b c (Å): 4.853 4.853 4.853
angles (deg): 90.00 90.00 90.00
Fractional coordinates of all 5 atoms:
Sc: 0.500 0.000 0.000
Na: 0.000 0.000 0.000
Sc: 0.000 0.000 0.500
Sc: 0.000 0.500 0.000
Ir: 0.500 0.500 0.500

Its crystal system is cubic. The calculation puts the energy above the most stable polymorph in this dataset at 1.497 eV/atom. Its space-group type is Pm-3m. The calculation puts the formation energy from the elements at 1.288 eV per atom. The total DFT energy (no corrections) comes out at -22.736 eV for the cell shown. For the theoretical density, the calculation gives 5.09 g/cm3.

# RuPb2Se

Crystalline RuPb2Se at its relaxed geometry (GGA-PBE, Alexandria via LeMat-Bulk).

a b c (Å): 3.368 3.361 8.569
angles (deg): 66.90 90.00 90.00
Fractional coordinates of all 4 atoms:
Ru: 0.500 0.250 0.250
Pb: 0.000 0.967 0.032
Se: 0.500 0.750 0.750
Pb: 0.000 0.533 0.468

Its crystal system is tetragonal. Its space-group type is P4/mmm. The total DFT energy (no corrections) comes out at -18.893 eV for the cell shown. For the theoretical density, the calculation gives 11.06 g/cm3.

# MgSbTe2Ru

Crystalline MgSbTe2Ru at its relaxed geometry (GGA-PBE, Alexandria via LeMat-Bulk).

a b c (Å): 5.274 5.274 5.170
angles (deg): 90.00 90.00 90.00
Fractional coordinates of all 5 atoms:
Ru: 0.500 0.500 0.500
Sb: 0.000 0.000 0.500
Mg: 0.000 0.000 0.000
Te: 0.500 0.000 0.000
Te: 0.000 0.500 0.000

Its crystal system is tetragonal. The calculation puts the energy above the most stable polymorph in this dataset at 0.794 eV/atom. Its space-group type is P4/mmm. The total DFT energy (no corrections) comes out at -15.676 eV for the cell shown. For the theoretical density, the calculation gives 5.80 g/cm3.

# Na2Sb4Au

Crystalline Na2Sb4Au at its relaxed geometry (GGA-PBE, Alexandria via LeMat-Bulk).

a b c (Å): 5.532 5.532 8.762
angles (deg): 71.60 71.60 90.00
Fractional coordinates of all 7 atoms:
Au: 0.000 0.000 0.000
Sb: 0.000 0.500 0.000
Na: 0.370 0.370 0.259
Na: 0.630 0.630 0.741
Sb: 0.500 0.000 0.000
Sb: 0.832 0.832 0.336
Sb: 0.168 0.168 0.664

Its crystal system is tetragonal. Its space-group type is I4/mmm. The total DFT energy (no corrections) comes out at -20.828 eV for the cell shown. For the theoretical density, the calculation gives 5.05 g/cm3.

# MgTaCu

Crystalline MgTaCu at its relaxed geometry (GGA-PBE, Alexandria via LeMat-Bulk).

a b c (Å): 2.941 7.097 5.209
angles (deg): 78.76 106.44 101.97
Fractional coordinates of all 6 atoms:
Mg: 0.156 0.826 0.740
Cu: 0.432 0.828 0.290
Ta: 0.416 0.447 0.638
Cu: 0.702 0.145 0.509
Ta: 0.716 0.527 0.161
Mg: 0.976 0.147 0.059

Its crystal system is monoclinic. The calculation puts the energy above the most stable polymorph in this dataset at 0.053 eV/atom. Its space-group type is C2/m. The calculation puts the formation energy from the elements at 0.134 eV per atom. The total DFT energy (no corrections) comes out at -34.281 eV for the cell shown. For the theoretical density, the calculation gives 8.85 g/cm3.

# Ho2Tm3Zr

Crystalline Ho2Tm3Zr at its relaxed geometry (GGA-PBE, Alexandria via LeMat-Bulk).

a b c (Å): 7.505 6.628 7.505
angles (deg): 99.86 99.76 80.14
Fractional coordinates of all 12 atoms:
Tm: 0.753 0.349 0.247
Zr: 0.514 0.206 0.486
Tm: 0.884 0.813 0.433
Tm: 0.567 0.813 0.116
Ho: 0.785 0.500 0.785
Ho: 0.164 0.000 0.164
Ho: 0.215 0.500 0.215
Tm: 0.116 0.187 0.567
Zr: 0.486 0.794 0.514
Tm: 0.433 0.187 0.884
Tm: 0.247 0.651 0.753
Ho: 0.836 0.000 0.836

Its crystal system is monoclinic. The calculation puts the energy above the most stable polymorph in this dataset at 0.034 eV/atom. Its space-group type is C2/m. The calculation puts the formation energy from the elements at 0.208 eV per atom. The total DFT energy (no corrections) comes out at -59.746 eV for the cell shown. For the theoretical density, the calculation gives 8.59 g/cm3.

# CeTl3Pb2Se6

Crystalline CeTl3Pb2Se6 at its relaxed geometry (GGA-PBE, Alexandria via LeMat-Bulk).

a b c (Å): 7.591 7.591 7.785
angles (deg): 99.18 99.18 119.91
Fractional coordinates of all 12 atoms:
Se: 0.613 0.928 0.780
Pb: 0.666 0.334 0.000
Tl: 0.831 0.169 0.500
Pb: 0.334 0.666 0.000
Se: 0.762 0.762 0.226
Tl: 0.169 0.831 0.500
Se: 0.072 0.387 0.220
Se: 0.238 0.238 0.774
Se: 0.387 0.072 0.220
Ce: 0.000 0.000 0.000
Tl: 0.500 0.500 0.500
Se: 0.928 0.613 0.780

Its crystal system is monoclinic. Its space-group type is C2/m. The total DFT energy (no corrections) comes out at -50.299 eV for the cell shown. For the theoretical density, the calculation gives 7.39 g/cm3.

# LiPr2GaO

Crystalline LiPr2GaO at its relaxed geometry (GGA-PBE, Alexandria via LeMat-Bulk).

a b c (Å): 4.126 5.019 5.019
angles (deg): 90.00 90.00 90.00
Fractional coordinates of all 5 atoms:
O: 0.000 0.000 0.000
Ga: 0.500 0.500 0.500
Li: 0.500 0.000 0.000
Pr: 0.000 0.500 0.000
Pr: 0.000 0.000 0.500

Its crystal system is tetragonal. Its space-group type is P4/mmm. The total DFT energy (no corrections) comes out at -26.290 eV for the cell shown. For the theoretical density, the calculation gives 5.98 g/cm3.

# Cr2InRh

Crystalline Cr2InRh at its relaxed geometry (GGA-PBE, Alexandria via LeMat-Bulk).

a b c (Å): 4.917 4.917 4.609
angles (deg): 76.38 76.38 34.57
Fractional coordinates of all 4 atoms:
Cr: 0.511 0.511 0.420
Cr: 0.989 0.989 0.080
Rh: 0.250 0.250 0.250
In: 0.750 0.750 0.750

Its crystal system is monoclinic. Its space-group type is C2/m. The calculation puts the formation energy from the elements at 0.196 eV per atom. The total DFT energy (no corrections) comes out at -28.552 eV for the cell shown. For the theoretical density, the calculation gives 8.72 g/cm3.